First-principles (PBE) data for a geometry-optimized MgAlNiW2 structure, as listed in the Alexandria database.

Properties
Density: 8.6 Mg/m³
N(E_F): 6.89 states/eV/f.u.
V: 91.7 Å³ per cell
ΔH_f (0 K): 1.419 eV per atom

Lattice parameters (Å, degrees): 4.638 4.638 4.265 90.00 90.00 90.00
Sites, in units of the cell vectors:
Mg 0.000 0.000 0.000
Al 0.500 0.500 0.500
Ni 0.500 0.500 0.000
W 0.000 0.500 0.500
W 0.500 0.000 0.500

=====

First-principles (PBE) data for a geometry-optimized Y2MgAl2Ni5 structure, as listed in the Alexandria database.

Properties
Density: 5.6 Mg/m³
N(E_F): 6.93 states/eV/f.u.
V: 324.7 Å³ per cell
ΔH_f (0 K): -0.342 eV per atom

Lattice parameters (Å, degrees): 9.592 9.592 3.529 90.00 90.00 90.00
Sites, in units of the cell vectors:
Y 0.182 0.318 0.000
Y 0.318 0.818 0.000
Y 0.682 0.182 0.000
Y 0.818 0.682 0.000
Mg 0.000 0.000 0.000
Mg 0.500 0.500 0.000
Al 0.114 0.614 0.000
Al 0.386 0.114 0.000
Al 0.614 0.886 0.000
Al 0.886 0.386 0.000
Ni 0.000 0.500 0.500
Ni 0.062 0.779 0.500
Ni 0.221 0.062 0.500
Ni 0.279 0.562 0.500
Ni 0.438 0.279 0.500
Ni 0.500 0.000 0.500
Ni 0.562 0.721 0.500
Ni 0.721 0.438 0.500
Ni 0.779 0.938 0.500
Ni 0.938 0.221 0.500

=====

First-principles (PBE) data for a geometry-optimized MgAlZn4Ni2 structure, as listed in the Alexandria database.

Properties
Density: 5.6 Mg/m³
N(E_F): 4.04 states/eV/f.u.
V: 128.0 Å³ per cell
ΔH_f (0 K): -0.001 eV per atom

Lattice parameters (Å, degrees): 3.463 3.463 10.669 90.00 90.00 90.00
Sites, in units of the cell vectors:
Mg 0.000 0.000 0.000
Al 0.000 0.000 0.500
Zn 0.000 0.500 0.221
Zn 0.000 0.500 0.779
Zn 0.500 0.000 0.221
Zn 0.500 0.000 0.779
Ni 0.500 0.500 0.391
Ni 0.500 0.500 0.609

=====

First-principles (PBE) data for a geometry-optimized MgZrAlNi structure, as listed in the Alexandria database.

Properties
Density: 4.9 Mg/m³
N(E_F): 2.42 states/eV/f.u.
V: 67.8 Å³ per cell
ΔH_f (0 K): -0.283 eV per atom

Lattice parameters (Å, degrees): 4.576 4.576 4.576 60.00 60.00 60.00
Sites, in units of the cell vectors:
Mg 0.000 0.000 0.000
Zr 0.500 0.500 0.500
Al 0.750 0.750 0.750
Ni 0.250 0.250 0.250

=====

First-principles (PBE) data for a geometry-optimized MgNpAl structure, as listed in the Alexandria database.

Properties
Density: 8.0 Mg/m³
N(E_F): 3.35 states/eV/f.u.
V: 59.8 Å³ per cell
ΔH_f (0 K): 0.119 eV per atom

Lattice parameters (Å, degrees): 2.920 2.920 8.098 90.00 90.00 120.00
Sites, in units of the cell vectors:
Mg 0.000 0.000 0.000
Np 0.333 0.667 0.638
Al 0.667 0.333 0.310

=====

First-principles (PBE) data for a geometry-optimized Mg2NpAl9 structure, as listed in the Alexandria database.

Properties
Density: 3.9 Mg/m³
N(E_F): 15.67 states/eV/f.u.
V: 224.4 Å³ per cell
ΔH_f (0 K): -0.008 eV per atom

Lattice parameters (Å, degrees): 9.343 9.343 9.343 33.76 33.76 33.76
Sites, in units of the cell vectors:
Mg 0.143 0.143 0.143
Mg 0.857 0.857 0.857
Np 0.000 0.000 0.000
Al 0.079 0.586 0.586
Al 0.335 0.335 0.335
Al 0.414 0.414 0.921
Al 0.414 0.921 0.414
Al 0.500 0.500 0.500
Al 0.586 0.079 0.586
Al 0.586 0.586 0.079
Al 0.665 0.665 0.665
Al 0.921 0.414 0.414

=====

First-principles (PBE) data for a geometry-optimized Mg16NpAl12 structure, as listed in the Alexandria database.

Properties
Density: 2.7 Mg/m³
N(E_F): 19.01 states/eV/f.u.
V: 584.7 Å³ per cell
ΔH_f (0 K): -0.034 eV per atom

Lattice parameters (Å, degrees): 9.124 9.124 9.124 109.47 109.47 109.47
Sites, in units of the cell vectors:
Mg 0.000 0.000 0.359
Mg 0.000 0.321 0.604
Mg 0.000 0.359 0.000
Mg 0.000 0.604 0.321
Mg 0.284 0.679 0.679
Mg 0.321 0.000 0.604
Mg 0.321 0.604 0.000
Mg 0.359 0.000 0.000
Mg 0.396 0.396 0.716
Mg 0.396 0.716 0.396
Mg 0.604 0.000 0.321
Mg 0.604 0.321 0.000
Mg 0.641 0.641 0.641
Mg 0.679 0.284 0.679
Mg 0.679 0.679 0.284
Mg 0.716 0.396 0.396
Np 0.000 0.000 0.000
Al 0.000 0.634 0.815
Al 0.000 0.815 0.634
Al 0.181 0.366 0.366
Al 0.185 0.185 0.819
Al 0.185 0.819 0.185
Al 0.366 0.181 0.366
Al 0.366 0.366 0.181
Al 0.634 0.000 0.815
Al 0.634 0.815 0.000
Al 0.815 0.000 0.634
Al 0.815 0.634 0.000
Al 0.819 0.185 0.185

=====

First-principles (PBE) data for a geometry-optimized MgNpAl structure, as listed in the Alexandria database.

Properties
Density: 7.9 Mg/m³
N(E_F): 4.01 states/eV/f.u.
V: 121.1 Å³ per cell
ΔH_f (0 K): 0.019 eV per atom

Lattice parameters (Å, degrees): 5.230 5.230 7.327 106.19 106.19 39.25
Sites, in units of the cell vectors:
Mg 0.163 0.163 0.088
Mg 0.837 0.837 0.912
Np 0.181 0.181 0.541
Np 0.819 0.819 0.459
Al 0.485 0.485 0.241
Al 0.515 0.515 0.759

=====

First-principles (PBE) data for a geometry-optimized MgNpAlO6 structure, as listed in the Alexandria database.

Properties
Density: 6.1 Mg/m³
Total energy: -7.950 eV per atom
V: 209.3 Å³ per cell

Lattice parameters (Å, degrees): 5.161 5.161 9.074 90.00 90.00 120.00
Sites, in units of the cell vectors:
Mg 0.000 0.000 0.000
Mg 0.000 0.000 0.500
Np 0.333 0.667 0.250
Np 0.667 0.333 0.750
Al 0.333 0.667 0.750
Al 0.667 0.333 0.250
O 0.015 0.356 0.636
O 0.015 0.660 0.864
O 0.340 0.356 0.864
O 0.340 0.985 0.636
O 0.356 0.015 0.136
O 0.356 0.340 0.364
O 0.644 0.660 0.636
O 0.644 0.985 0.864
O 0.660 0.015 0.364
O 0.660 0.644 0.136
O 0.985 0.340 0.136
O 0.985 0.644 0.364

=====

First-principles (PBE) data for a geometry-optimized MgNpAlZn structure, as listed in the Alexandria database.

Properties
Density: 7.2 Mg/m³
N(E_F): 9.13 states/eV/f.u.
V: 81.7 Å³ per cell
ΔH_f (0 K): 0.086 eV per atom

Lattice parameters (Å, degrees): 4.871 4.871 4.871 60.00 60.00 60.00
Sites, in units of the cell vectors:
Mg 0.000 0.000 0.000
Np 0.500 0.500 0.500
Al 0.750 0.750 0.750
Zn 0.250 0.250 0.250

=====

First-principles (PBE) data for a geometry-optimized Mg2Al2O structure, as listed in the Alexandria database.

Properties
E above lowest polymorph: 821.1 meV per atom
Density: 2.0 Mg/m³
N(E_F): 1.76 states/eV/f.u.
V: 96.8 Å³ per cell

Lattice parameters (Å, degrees): 7.664 7.664 7.664 152.34 152.34 39.51
Sites, in units of the cell vectors:
Mg 0.250 0.750 0.500
Mg 0.750 0.250 0.500
Al 0.085 0.085 0.000
Al 0.915 0.915 0.000
O 0.500 0.500 0.000

=====

First-principles (PBE) data for a geometry-optimized MgAl2O4 structure, as listed in the Alexandria database.

Properties
E above lowest polymorph: 98.5 meV per atom
Density: 3.8 Mg/m³
N(E_F): 0.00 states/eV/f.u.
V: 247.2 Å³ per cell

Lattice parameters (Å, degrees): 8.757 2.814 10.033 90.00 90.00 90.00
Sites, in units of the cell vectors:
Mg 0.246 0.250 0.152
Mg 0.254 0.750 0.652
Mg 0.746 0.250 0.348
Mg 0.754 0.750 0.848
Al 0.059 0.250 0.383
Al 0.087 0.250 0.896
Al 0.413 0.750 0.396
Al 0.441 0.750 0.883
Al 0.559 0.250 0.117
Al 0.587 0.250 0.604
Al 0.913 0.750 0.104
Al 0.941 0.750 0.617
O 0.037 0.750 0.784
O 0.088 0.250 0.570
O 0.120 0.750 0.029
O 0.201 0.750 0.332
O 0.299 0.250 0.832
O 0.380 0.250 0.529
O 0.412 0.750 0.070
O 0.463 0.250 0.284
O 0.537 0.750 0.716
O 0.588 0.250 0.930
O 0.620 0.750 0.471
O 0.701 0.750 0.168
O 0.799 0.250 0.668
O 0.880 0.250 0.971
O 0.912 0.750 0.430
O 0.963 0.250 0.216